1.
The following is a DFT calculation (PBE-GGA) of an optimized crystal structure of ZrTaSe2N.

The value obtained for the raw formation energy is 0.424 eV/atom. For the polymorph energy (0 for the lowest one), the calculation gives 651 meV/atom.

The space group is P4/mmm (No. 123) and the conventional cell measures 5.276, 5.276 and 3.937 Å, with angles of 90.00, 90.00 and 90.00 degrees. The distinct sites, in fractional coordinates, are Zr at (0.000, 0.000, 0.000), Ta at (0.500, 0.500, 0.500), Se at (0.000, 0.500, 0.000) and N at (0.000, 0.000, 0.500).

2.
The following is a DFT calculation (PBE-GGA) of an optimized crystal structure of ZrTaSe2N.

The value obtained for the raw formation energy is 0.389 eV/atom. For the polymorph energy (0 for the lowest one), the calculation gives 616 meV/atom.

The space group is P4/mmm (No. 123) and the conventional cell measures 4.565, 4.565 and 4.168 Å, with angles of 90.00, 90.00 and 90.00 degrees. The distinct sites, in fractional coordinates, are Zr at (0.000, 0.000, 0.000), Ta at (0.500, 0.500, 0.000), Se at (0.000, 0.500, 0.500) and N at (0.000, 0.000, 0.500).

3.
The following is a DFT calculation (PBE-GGA) of an optimized crystal structure of ZrTaSeN2.

The value obtained for the raw formation energy is 0.731 eV/atom. For the polymorph energy (0 for the lowest one), the calculation gives 894 meV/atom.

The space group is P4/mmm (No. 123) and the conventional cell measures 4.101, 4.101 and 5.249 Å, with angles of 90.00, 90.00 and 90.00 degrees. The distinct sites, in fractional coordinates, are Zr at (0.000, 0.000, 0.000), Ta at (0.500, 0.500, 0.500), Se at (0.000, 0.000, 0.500) and N at (0.000, 0.500, 0.000).

4.
The following is a DFT calculation (PBE-GGA) of an optimized crystal structure of ZrTaSe2N.

The value obtained for the raw formation energy is -0.227 eV/atom. For the polymorph energy (0 for the lowest one), the calculation gives 0 meV/atom.

The space group is P4/mmm (No. 123) and the conventional cell measures 5.120, 5.120 and 3.867 Å, with angles of 90.00, 90.00 and 90.00 degrees. The distinct sites, in fractional coordinates, are Zr at (0.000, 0.000, 0.000), Ta at (0.500, 0.500, 0.500), Se at (0.000, 0.500, 0.500) and N at (0.500, 0.500, 0.000).

Copy entry 3 word for word.
The following is a DFT calculation (PBE-GGA) of an optimized crystal structure of ZrTaSeN2.

The value obtained for the raw formation energy is 0.731 eV/atom. For the polymorph energy (0 for the lowest one), the calculation gives 894 meV/atom.

The space group is P4/mmm (No. 123) and the conventional cell measures 4.101, 4.101 and 5.249 Å, with angles of 90.00, 90.00 and 90.00 degrees. The distinct sites, in fractional coordinates, are Zr at (0.000, 0.000, 0.000), Ta at (0.500, 0.500, 0.500), Se at (0.000, 0.000, 0.500) and N at (0.000, 0.500, 0.000).